VASP calculation (PBE+U) on crystalline MnBe2IF at its relaxed geometry.

- Raw total energy: -2.808 eV/atom
- DOS(E_F): 2.2 states/eV/cell
- ρ: 3.196 g cm⁻³

Geometry as CIF:
```
data_MnBe2IF
_symmetry_space_group_name_H-M 'P 4/m m m'
_symmetry_Int_Tables_number 123
_symmetry_space_group_name_Hall '-P 4 2'
_cell_length_a 4.757
_cell_length_b 4.757
_cell_length_c 5.024
_cell_angle_alpha 90.00
_cell_angle_beta 90.00
_cell_angle_gamma 90.00
loop_
_atom_site_label
_atom_site_fract_x
_atom_site_fract_y
_atom_site_fract_z
Mn1 0.000 0.000 0.000
Be1 0.000 0.500 0.500
I1 0.500 0.500 0.500
F1 0.500 0.500 0.000
```